Compound: MnZnSbO6
Source: the Alexandria database
Functional: PBE with a Hubbard U
Structure: relaxed

Computed properties:
Calculated total energy = -5.914 eV per atom
Calculated volume = 11.24 Å³ per atom
ρ = 5.5 g/cm³

a = 5.1454 Å, b = 5.1454 Å, c = 8.8266 Å
α = 90.00°, β = 90.00°, γ = 120.00°
Positions (direct):
1 Mn 0.3333 0.6667 0.2500
2 Mn 0.6667 0.3333 0.7500
3 Zn 0.0000 0.0000 0.0000
4 Zn 0.0000 0.0000 0.5000
5 Sb 0.3333 0.6667 0.7500
6 Sb 0.6667 0.3333 0.2500
7 O 0.0119 0.3584 0.1311
8 O 0.0119 0.6535 0.3689
9 O 0.3465 0.3584 0.3689
10 O 0.3465 0.9881 0.1311
11 O 0.3584 0.0119 0.6311
12 O 0.3584 0.3465 0.8689
13 O 0.6416 0.6535 0.1311
14 O 0.6416 0.9881 0.3689
15 O 0.6535 0.0119 0.8689
16 O 0.6535 0.6416 0.6311
17 O 0.9881 0.3465 0.6311
18 O 0.9881 0.6416 0.8689